{"formula": "CaCeZn", "functional": "GGA-PBE", "state": "optimized geometry", "lattice_angstrom": [[5.390, -1.766, 0.000], [5.390, 1.766, 0.000], [-2.663, 0.000, 8.672]], "species": ["Ca", "Ca", "Ce", "Ce", "Zn", "Zn"], "fractional_positions": [[0.164, 0.164, 0.120], [0.836, 0.836, 0.880], [0.355, 0.355, 0.527], [0.645, 0.645, 0.473], [0.086, 0.086, 0.742], [0.914, 0.914, 0.258]], "formation_enthalpy_0k_ev_per_atom": -0.012, "magmom_total_mub_per_fu": 0.57, "total_energy_ev_per_cell": -18.489, "polymorph_energy_mev_per_atom": 127, "spacegroup": "C2/m"}